Density functional theory data (PBE-GGA) for a geometry-optimized Ba3Pb2O6 structure.

The density of states at the Fermi level is 1.830 states/eV/f.u. As for the formation energy without anion corrections: -1.88 eV/atom. As for the raw total energy: -63.6 eV for the cell shown.

Cell: 4.533 4.533 11.113 Å, 101.77 101.77 90.00°
Element x y z (fractional)
Ba1 0.000 0.000 0.000
Ba2 0.818 0.818 0.637
Ba3 0.182 0.182 0.363
Pb1 0.402 0.402 0.804
Pb2 0.598 0.598 0.196
O1 0.086 0.586 0.171
O2 0.586 0.086 0.171
O3 0.914 0.414 0.829
O4 0.414 0.914 0.829
O5 0.700 0.700 0.400
O6 0.300 0.300 0.600